Computed, not measured: a relaxed structure of Nd2Zn3Cu12Ir at the PBE level of DFT.

Values from the calculation:
Energy of formation (eV per atom): 0.11
Crystal system: trigonal
Mass density (g cm⁻³): 8.039

Unit cell a=9.9280 b=9.9280 c=9.9280 alpha=35.66 beta=35.66 gamma=35.66
Closest atoms and distances in Å follow each position.
Atoms (fractional coordinates):
Nd: 0.1486 0.1486 0.1486  12 Cu 3.09-3.39
Nd: 0.8514 0.8514 0.8514  12 Cu 3.09-3.39
Zn: 0.0000 0.5000 0.5000  6 Cu 2.40-2.67
Zn: 0.5000 0.0000 0.5000  6 Cu 2.40-2.67
Zn: 0.5000 0.5000 0.0000  6 Cu 2.40-2.67
Cu: 0.0817 0.0817 0.6890  4 Cu 2.39-2.43, 2 Zn 2.40
Cu: 0.0817 0.6890 0.0817  4 Cu 2.39-2.43, 2 Zn 2.40
Cu: 0.1409 0.5725 0.5725  4 Cu 2.43-2.62, 1 Ir 2.50, 1 Zn 2.67
Cu: 0.3110 0.9183 0.9183  4 Cu 2.39-2.43, 2 Zn 2.40
Cu: 0.4275 0.4275 0.8591  4 Cu 2.43-2.62, 1 Ir 2.50, 1 Zn 2.67
Cu: 0.4275 0.8591 0.4275  4 Cu 2.43-2.62, 1 Ir 2.50, 1 Zn 2.67
Cu: 0.5725 0.1409 0.5725  4 Cu 2.43-2.62, 1 Ir 2.50, 1 Zn 2.67
Cu: 0.5725 0.5725 0.1409  4 Cu 2.43-2.62, 1 Ir 2.50, 1 Zn 2.67
Cu: 0.6890 0.0817 0.0817  4 Cu 2.39-2.43, 2 Zn 2.40
Cu: 0.8591 0.4275 0.4275  4 Cu 2.43-2.62, 1 Ir 2.50, 1 Zn 2.67
Cu: 0.9183 0.3110 0.9183  4 Cu 2.39-2.43, 2 Zn 2.40
Cu: 0.9183 0.9183 0.3110  4 Cu 2.39-2.43, 2 Zn 2.40
Ir: 0.5000 0.5000 0.5000  6 Cu 2.50